Material: Nd8P3S4Br
Method: DFT, GGA-PBE
State: optimized geometry

The value obtained for the size of the total moment is 0.000 μB per formula unit. For the raw total energy, the calculation gives -303.59 eV for the cell shown. The calculation puts the density of states at the Fermi level at 0.43 states/eV per atom. The calculation puts the uncorrected formation energy at -1.7901 eV/atom.

The space group is R-3m (No. 166, hexagonal axes) and the conventional cell measures 8.3130, 8.3130 and 20.0988 Å, with angles of 90.00, 90.00 and 120.00 degrees. The inequivalent atoms are Nd at (0.0000, 0.0000, 0.2473), Nd at (0.0229, 0.5115, 0.7476), P at (0.0000, 0.5000, 0.5000), S at (0.0000, 0.0000, 0.0000), S at (0.0000, 0.5000, 0.0000) and Br at (0.0000, 0.0000, 0.5000).